A | VASP calculation (SCAN) on a crystal of RbNa2Sb2 relaxed with PBEsol.

Cell lengths 5.181, 5.181, 12.779 Å; angles 90.00, 90.00, 90.00 degrees
Space group I4/mmm (No. 139)
One atom of each set of equivalent atoms:
Rb1 0.000 0.000 0.000 (multiplicity 2)
Na1 0.000 0.500 0.250 (multiplicity 4)
Sb1 0.000 0.000 0.392 (multiplicity 4)

N(E_F) ... 0.545 states/eV per atom
Total magnetic moment ... 0.002 μB per formula unit

***

B | VASP calculation (SCAN) on a crystal of RbNa2Sb2 relaxed with PBEsol.

Cell lengths 9.557, 9.557, 3.222 Å; angles 90.00, 90.00, 90.00 degrees
Space group P4/mbm (No. 127)
One atom of each set of equivalent atoms:
Rb1 0.000 0.000 0.000 (multiplicity 2)
Na1 0.122 0.378 0.000 (multiplicity 4)
Sb1 0.172 0.672 0.500 (multiplicity 4)

N(E_F) ... 0.576 states/eV per atom
Total magnetic moment ... 0.000 μB per formula unit

***

Most stable pick: A. Distance to second place: 6 meV per atom.

***

A | VASP calculation (SCAN) on a crystal of RbNa2Tl2 relaxed with PBEsol.

Cell lengths 9.580, 9.580, 3.533 Å; angles 90.00, 90.00, 90.00 degrees
Space group P4/mbm (No. 127)
One atom of each set of equivalent atoms:
Rb1 0.000 0.000 0.000 (multiplicity 2)
Na1 0.174 0.326 0.500 (multiplicity 4)
Tl1 0.115 0.615 0.000 (multiplicity 4)

N(E_F) ... 0.583 states/eV per atom
Total magnetic moment ... 0.000 μB per formula unit

***

B | VASP calculation (SCAN) on a crystal of RbNa2Tl2 relaxed with PBEsol.

Cell lengths 5.122, 5.122, 13.930 Å; angles 90.00, 90.00, 90.00 degrees
Space group I4/mmm (No. 139)
One atom of each set of equivalent atoms:
Rb1 0.000 0.000 0.000 (multiplicity 2)
Na1 0.000 0.500 0.250 (multiplicity 4)
Tl1 0.000 0.000 0.394 (multiplicity 4)

N(E_F) ... 0.601 states/eV per atom
Total magnetic moment ... 0.000 μB per formula unit

***

Most stable pick: A. Distance to second place: 31 meV per atom.

***

A | VASP calculation (SCAN) on a crystal of NaReTe2 relaxed with PBEsol.

Cell lengths 6.779, 6.779, 6.779 Å; angles 90.00, 90.00, 90.00 degrees
Space group Fm-3m (No. 225)
One atom of each set of equivalent atoms:
Na1 0.000 0.000 0.000 (multiplicity 4)
Re1 0.000 0.000 0.500 (multiplicity 4)
Te1 0.250 0.250 0.250 (multiplicity 8)

N(E_F) ... 0.234 states/eV per atom
Total magnetic moment ... 0.000 μB per formula unit

***

B | VASP calculation (SCAN) on a crystal of NaReTe2 relaxed with PBEsol.

Cell lengths 3.1106, 3.1106, 31.8425 Å; angles 90.00, 90.00, 120.00 degrees
Space group R-3m (No. 166, hexagonal axes)
One atom of each set of equivalent atoms:
Na1 0.0000 0.0000 0.0000 (multiplicity 3)
Re1 0.0000 0.0000 0.5000 (multiplicity 3)
Te1 0.0000 0.0000 0.4181 (multiplicity 6)

N(E_F) ... 0.794 states/eV per atom
Total magnetic moment ... 0.000 μB per formula unit

***

Most stable pick: A. Distance to second place: 440 meV per atom.

***

A | VASP calculation (SCAN) on a crystal of NaSn2Rh2 relaxed with PBEsol.

Cell lengths 4.265, 4.265, 11.531 Å; angles 90.00, 90.00, 90.00 degrees
Space group I4/mmm (No. 139)
One atom of each set of equivalent atoms:
Na1 0.000 0.000 0.000 (multiplicity 2)
Sn1 0.000 0.000 0.375 (multiplicity 4)
Rh1 0.000 0.500 0.250 (multiplicity 4)

N(E_F) ... 0.416 states/eV per atom
Total magnetic moment ... 0.000 μB per formula unit

***

B | VASP calculation (SCAN) on a crystal of NaSn2Rh2 relaxed with PBEsol.

Cell lengths 7.787, 7.787, 2.970 Å; angles 90.00, 90.00, 90.00 degrees
Space group P4/mbm (No. 127)
One atom of each set of equivalent atoms:
Na1 0.000 0.000 0.000 (multiplicity 2)
Sn1 0.150 0.350 0.000 (multiplicity 4)
Rh1 0.144 0.644 0.500 (multiplicity 4)

N(E_F) ... 0.294 states/eV per atom
Total magnetic moment ... 0.000 μB per formula unit

***

Most stable pick: B. Distance to second place: 28 meV per atom.

***

A | VASP calculation (SCAN) on a crystal of Na2Zn2Se3 relaxed with PBEsol.

Cell lengths 15.203, 13.617, 6.948 Å; angles 90.00, 117.01, 90.00 degrees
Space group C2/c (No. 15)
One atom of each set of equivalent atoms:
Na1 0.000 0.067 0.250 (multiplicity 4)
Na2 0.000 0.218 0.750 (multiplicity 4)
Na3 0.109 0.416 0.643 (multiplicity 8)
Zn1 0.186 0.233 0.263 (multiplicity 8)
Zn2 0.217 0.078 0.799 (multiplicity 8)
Se1 0.109 0.380 0.060 (multiplicity 8)
Se2 0.135 0.216 0.552 (multiplicity 8)
Se3 0.154 0.074 0.073 (multiplicity 8)

N(E_F) ... 0.000 states/eV per atom
Total magnetic moment ... 0.000 μB per formula unit

***

B | VASP calculation (SCAN) on a crystal of Na2Zn2Se3 relaxed with PBEsol.

Cell lengths 7.249, 7.249, 12.015 Å; angles 90.00, 90.00, 90.00 degrees
Space group P4_32_12 (No. 96)
One atom of each set of equivalent atoms:
Na1 0.062 0.345 0.304 (multiplicity 8)
Zn1 0.027 0.192 0.884 (multiplicity 8)
Se1 0.083 0.777 0.578 (multiplicity 8)
Se2 0.214 0.786 0.250 (multiplicity 4)

N(E_F) ... 0.000 states/eV per atom
Total magnetic moment ... 0.000 μB per formula unit

***

Most stable pick: A. Distance to second place: 45 meV per atom.

***

A | VASP calculation (SCAN) on a crystal of Na2Zn2Sn relaxed with PBEsol.

Cell lengths 6.847, 6.847, 4.893 Å; angles 90.00, 90.00, 90.00 degrees
Space group P4/mbm (No. 127)
One atom of each set of equivalent atoms:
Na1 0.179 0.321 0.000 (multiplicity 4)
Zn1 0.126 0.626 0.500 (multiplicity 4)
Sn1 0.000 0.000 0.500 (multiplicity 2)

N(E_F) ... 0.454 states/eV per atom
Total magnetic moment ... 0.000 μB per formula unit

***

B | VASP calculation (SCAN) on a crystal of Na2Zn2Sn relaxed with PBEsol.

Cell lengths 4.065, 4.065, 13.567 Å; angles 90.00, 90.00, 90.00 degrees
Space group I4/mmm (No. 139)
One atom of each set of equivalent atoms:
Na1 0.000 0.500 0.250 (multiplicity 4)
Zn1 0.000 0.000 0.090 (multiplicity 4)
Sn1 0.000 0.000 0.500 (multiplicity 2)

N(E_F) ... 0.479 states/eV per atom
Total magnetic moment ... 0.000 μB per formula unit

***

Most stable pick: A. Distance to second place: 287 meV per atom.

***

A | VASP calculation (SCAN) on a crystal of Nb3NiOs relaxed with PBEsol.

Cell lengths 4.765, 4.765, 4.765 Å; angles 90.00, 90.00, 90.00 degrees
Space group Pm-3m (No. 221)
One atom of each set of equivalent atoms:
Nb1 0.000 0.000 0.500 (multiplicity 3)
Ni1 0.500 0.500 0.500 (multiplicity 1)
Os1 0.000 0.000 0.000 (multiplicity 1)

N(E_F) ... 1.175 states/eV per atom
Total magnetic moment ... 1.394 μB per formula unit

***

B | VASP calculation (SCAN) on a crystal of Nb3NiOs relaxed with PBEsol.

Cell lengths 4.483, 4.483, 4.483 Å; angles 90.00, 90.00, 90.00 degrees
Space group Pm-3m (No. 221)
One atom of each set of equivalent atoms:
Nb1 0.000 0.000 0.500 (multiplicity 3)
Ni1 0.000 0.000 0.000 (multiplicity 1)
Os1 0.500 0.500 0.500 (multiplicity 1)

N(E_F) ... 1.067 states/eV per atom
Total magnetic moment ... 0.000 μB per formula unit

***

Most stable pick: B. Distance to second place: 273 meV per atom.

***

A | VASP calculation (SCAN) on a crystal of RbNbPO2 relaxed with PBEsol.

Cell lengths 4.091, 4.091, 5.024 Å; angles 90.00, 90.00, 90.00 degrees
Space group P4/mmm (No. 123)
One atom of each set of equivalent atoms:
Rb1 0.000 0.000 0.000 (multiplicity 1)
Nb1 0.500 0.500 0.500 (multiplicity 1)
P1 0.500 0.500 0.000 (multiplicity 1)
O1 0.000 0.500 0.500 (multiplicity 2)

N(E_F) ... 0.452 states/eV per atom
Total magnetic moment ... 0.001 μB per formula unit

***

B | VASP calculation (SCAN) on a crystal of RbNbPO2 relaxed with PBEsol.

Cell lengths 3.977, 3.977, 5.852 Å; angles 90.00, 90.00, 90.00 degrees
Space group P4/mmm (No. 123)
One atom of each set of equivalent atoms:
Rb1 0.000 0.000 0.000 (multiplicity 1)
Nb1 0.500 0.500 0.500 (multiplicity 1)
P1 0.000 0.000 0.500 (multiplicity 1)
O1 0.000 0.500 0.000 (multiplicity 2)

N(E_F) ... 0.346 states/eV per atom
Total magnetic moment ... 1.106 μB per formula unit

***

Most stable pick: A. Distance to second place: 2548 meV per atom.

***

A | VASP calculation (SCAN) on a crystal of NbP2SO relaxed with PBEsol.

Cell lengths 4.793, 4.793, 4.619 Å; angles 90.00, 90.00, 90.00 degrees
Space group P4/mmm (No. 123)
One atom of each set of equivalent atoms:
Nb1 0.000 0.000 0.000 (multiplicity 1)
P1 0.000 0.500 0.000 (multiplicity 2)
S1 0.000 0.000 0.500 (multiplicity 1)
O1 0.500 0.500 0.500 (multiplicity 1)

N(E_F) ... 0.639 states/eV per atom
Total magnetic moment ... 0.376 μB per formula unit

***

B | VASP calculation (SCAN) on a crystal of NbP2SO relaxed with PBEsol.

Cell lengths 4.532, 4.532, 3.386 Å; angles 90.00, 90.00, 90.00 degrees
Space group P4/mmm (No. 123)
One atom of each set of equivalent atoms:
Nb1 0.000 0.000 0.000 (multiplicity 1)
P1 0.000 0.500 0.500 (multiplicity 2)
S1 0.500 0.500 0.500 (multiplicity 1)
O1 0.500 0.500 0.000 (multiplicity 1)

N(E_F) ... 0.608 states/eV per atom
Total magnetic moment ... 0.008 μB per formula unit

***

Most stable pick: B. Distance to second place: 385 meV per atom.

***

A | VASP calculation (SCAN) on a crystal of Nb4Pb3O13 relaxed with PBEsol.

Cell lengths 7.5165, 7.5165, 18.5270 Å; angles 90.00, 90.00, 120.00 degrees
Space group R3m (No. 160, hexagonal axes)
One atom of each set of equivalent atoms:
Nb1 0.0000 0.0000 0.0000 (multiplicity 3)
Nb2 0.1676 0.3352 0.8341 (multiplicity 9)
Pb1 0.0084 0.5042 0.9920 (multiplicity 9)
O1 0.0000 0.0000 0.3553 (multiplicity 3)
O2 0.0741 0.5371 0.6143 (multiplicity 9)
O3 0.0866 0.5433 0.8649 (multiplicity 9)
O4 0.2091 0.4183 0.7351 (multiplicity 9)
O5 0.2122 0.4244 0.4893 (multiplicity 9)

N(E_F) ... 0.000 states/eV per atom
Total magnetic moment ... 0.000 μB per formula unit

***

B | VASP calculation (SCAN) on a crystal of Nb4Pb3O13 relaxed with PBEsol.

Cell lengths 7.507, 7.499, 10.623 Å; angles 90.00, 90.00, 90.00 degrees
Space group Pmma (No. 51)
One atom of each set of equivalent atoms:
Nb1 0.000 0.000 0.000 (multiplicity 2)
Nb2 0.000 0.500 0.500 (multiplicity 2)
Nb3 0.250 0.249 0.252 (multiplicity 4)
Pb1 0.000 0.500 0.000 (multiplicity 2)
Pb2 0.250 0.249 0.738 (multiplicity 4)
O1 0.056 0.193 0.125 (multiplicity 8)
O2 0.060 0.316 0.372 (multiplicity 8)
O3 0.250 0.000 0.299 (multiplicity 2)
O4 0.250 0.000 0.937 (multiplicity 2)
O5 0.250 0.500 0.177 (multiplicity 2)
O6 0.250 0.500 0.566 (multiplicity 2)
O7 0.250 0.500 0.847 (multiplicity 2)

N(E_F) ... 0.000 states/eV per atom
Total magnetic moment ... 0.000 μB per formula unit

***

Most stable pick: B. Distance to second place: 9 meV per atom.

***

A | VASP calculation (SCAN) on a crystal of ScNbO2 relaxed with PBEsol.

Cell lengths 3.0116, 3.0116, 20.1045 Å; angles 90.00, 90.00, 120.00 degrees
Space group R-3m (No. 166, hexagonal axes)
One atom of each set of equivalent atoms:
Sc1 0.0000 0.0000 0.0000 (multiplicity 3)
Nb1 0.0000 0.0000 0.5000 (multiplicity 3)
O1 0.0000 0.0000 0.1013 (multiplicity 6)

N(E_F) ... 0.526 states/eV per atom
Total magnetic moment ... 0.000 μB per formula unit

***

B | VASP calculation (SCAN) on a crystal of ScNbO2 relaxed with PBEsol.

Cell lengths 4.903, 4.903, 9.217 Å; angles 90.00, 90.00, 90.00 degrees
Space group I-42d (No. 122)
One atom of each set of equivalent atoms:
Sc1 0.000 0.000 0.000 (multiplicity 4)
Nb1 0.000 0.000 0.500 (multiplicity 4)
O1 0.233 0.250 0.125 (multiplicity 8)

N(E_F) ... 0.731 states/eV per atom
Total magnetic moment ... 1.360 μB per formula unit

***

Most stable pick: B. Distance to second place: 94 meV per atom.